# TaInSbI2 (SCAN, PBEsol geometry)
data_TaInSbI2
_chemical_formula_sum 'Ta1 In1 Sb1 I2'
_symmetry_space_group_name_H-M 'P 4/m m m'
_symmetry_Int_Tables_number 123
_symmetry_space_group_name_Hall '-P 4 2'
_cell_length_a 5.536
_cell_length_b 5.536
_cell_length_c 5.362
_cell_angle_alpha 90.00
_cell_angle_beta 90.00
_cell_angle_gamma 90.00
loop_
_atom_site_label
_atom_site_fract_x
_atom_site_fract_y
_atom_site_fract_z
_atom_site_occupancy
Ta1 0.000 0.000 0.000 1
In1 0.500 0.500 0.500 1
Sb1 0.000 0.000 0.500 1
I1 0.000 0.500 0.000 1
# Crystal system: tetragonal
# VASP energy (eV per atom): -41.801

***

# SrCeAlO4 (SCAN, PBEsol geometry)
data_SrCeAlO4
_chemical_formula_sum 'Sr2 Ce2 Al2 O8'
_symmetry_space_group_name_H-M 'I 4 m m'
_symmetry_Int_Tables_number 107
_symmetry_space_group_name_Hall 'I 4 -2'
_cell_length_a 3.722
_cell_length_b 3.722
_cell_length_c 12.322
_cell_angle_alpha 90.00
_cell_angle_beta 90.00
_cell_angle_gamma 90.00
loop_
_atom_site_label
_atom_site_fract_x
_atom_site_fract_y
_atom_site_fract_z
_atom_site_occupancy
Sr1 0.000 0.000 0.000 1
Ce1 0.000 0.000 0.287 1
Al1 0.000 0.000 0.640 1
O1 0.000 0.000 0.477 1
O2 0.000 0.000 0.804 1
O3 0.000 0.500 0.149 1
# Crystal system: tetragonal
# VASP energy (eV per atom): -17.656

***

# AgTe2HPt (SCAN, PBEsol geometry)
data_AgTe2HPt
_chemical_formula_sum 'Ag1 Te2 H1 Pt1'
_symmetry_space_group_name_H-M 'P 4/m m m'
_symmetry_Int_Tables_number 123
_symmetry_space_group_name_Hall '-P 4 2'
_cell_length_a 5.216
_cell_length_b 5.216
_cell_length_c 5.006
_cell_angle_alpha 90.00
_cell_angle_beta 90.00
_cell_angle_gamma 90.00
loop_
_atom_site_label
_atom_site_fract_x
_atom_site_fract_y
_atom_site_fract_z
_atom_site_occupancy
Ag1 0.000 0.000 0.000 1
Te1 0.000 0.500 0.000 1
H1 0.500 0.500 0.500 1
Pt1 0.000 0.000 0.500 1
# Crystal system: tetragonal
# VASP energy (eV per atom): -34.560

***

# KMnCo2P (SCAN, PBEsol geometry)
data_KMnCo2P
_chemical_formula_sum 'K1 Mn1 Co2 P1'
_symmetry_space_group_name_H-M 'P 4/m m m'
_symmetry_Int_Tables_number 123
_symmetry_space_group_name_Hall '-P 4 2'
_cell_length_a 4.526
_cell_length_b 4.526
_cell_length_c 4.239
_cell_angle_alpha 90.00
_cell_angle_beta 90.00
_cell_angle_gamma 90.00
loop_
_atom_site_label
_atom_site_fract_x
_atom_site_fract_y
_atom_site_fract_z
_atom_site_occupancy
K1 0.000 0.000 0.000 1
Mn1 0.500 0.500 0.500 1
Co1 0.000 0.500 0.500 1
P1 0.500 0.500 0.000 1
# Crystal system: tetragonal
# E_form (meV/atom): 582

***

# DySi2Ir2 (SCAN, PBEsol geometry)
data_DySi2Ir2
_chemical_formula_sum 'Dy2 Si4 Ir4'
_symmetry_space_group_name_H-M 'I 4/m m m'
_symmetry_Int_Tables_number 139
_symmetry_space_group_name_Hall '-I 4 2'
_cell_length_a 4.040
_cell_length_b 4.040
_cell_length_c 9.882
_cell_angle_alpha 90.00
_cell_angle_beta 90.00
_cell_angle_gamma 90.00
loop_
_atom_site_label
_atom_site_fract_x
_atom_site_fract_y
_atom_site_fract_z
_atom_site_occupancy
Dy1 0.000 0.000 0.000 1
Si1 0.000 0.000 0.379 1
Ir1 0.000 0.500 0.250 1
# Crystal system: tetragonal
# VASP energy (eV per atom): -43.240

***

# NiSe2Br (SCAN, PBEsol geometry)
data_NiSe2Br
_chemical_formula_sum 'Ni3 Se6 Br3'
_symmetry_space_group_name_H-M 'R -3 m'
_symmetry_Int_Tables_number 166
_symmetry_space_group_name_Hall '-R 3 2"'
_cell_length_a 3.5875
_cell_length_b 3.5875
_cell_length_c 20.5949
_cell_angle_alpha 90.00
_cell_angle_beta 90.00
_cell_angle_gamma 120.00
loop_
_atom_site_label
_atom_site_fract_x
_atom_site_fract_y
_atom_site_fract_z
_atom_site_occupancy
Ni1 0.0000 0.0000 0.0000 1
Se1 0.0000 0.0000 0.2774 1
Br1 0.0000 0.0000 0.5000 1
# Crystal system: trigonal
# Relative energy among the computed polymorphs (meV/atom): 68

***

# HfOF2 (SCAN, PBEsol geometry)
data_HfOF2
_chemical_formula_sum 'Hf3 O3 F6'
_symmetry_space_group_name_H-M 'R -3 m'
_symmetry_Int_Tables_number 166
_symmetry_space_group_name_Hall '-R 3 2"'
_cell_length_a 3.1721
_cell_length_b 3.1721
_cell_length_c 26.2762
_cell_angle_alpha 90.00
_cell_angle_beta 90.00
_cell_angle_gamma 120.00
loop_
_atom_site_label
_atom_site_fract_x
_atom_site_fract_y
_atom_site_fract_z
_atom_site_occupancy
Hf1 0.0000 0.0000 0.0000 1
O1 0.0000 0.0000 0.5000 1
F1 0.0000 0.0000 0.0722 1
# Crystal system: trigonal
# VASP energy (eV per atom): -20.165

***

# KZrPb2 (SCAN, PBEsol geometry)
data_KZrPb2
_chemical_formula_sum 'K2 Zr2 Pb4'
_symmetry_space_group_name_H-M 'C m m m'
_symmetry_Int_Tables_number 65
_symmetry_space_group_name_Hall '-C 2 2'
_cell_length_a 4.624
_cell_length_b 4.673
_cell_length_c 9.943
_cell_angle_alpha 90.00
_cell_angle_beta 90.00
_cell_angle_gamma 90.00
loop_
_atom_site_label
_atom_site_fract_x
_atom_site_fract_y
_atom_site_fract_z
_atom_site_occupancy
K1 0.000 0.000 0.000 1
Zr1 0.000 0.000 0.500 1
Pb1 0.000 0.500 0.278 1
# Crystal system: orthorhombic
# Relative energy among the computed polymorphs (meV/atom): 0
# E_form (meV/atom): -318

***

# SrSb2 (SCAN, PBEsol geometry)
data_SrSb2
_chemical_formula_sum 'Sr1 Sb2'
_symmetry_space_group_name_H-M 'P -3 m 1'
_symmetry_Int_Tables_number 164
_symmetry_space_group_name_Hall '-P 3 2"'
_cell_length_a 4.1483
_cell_length_b 4.1483
_cell_length_c 6.7770
_cell_angle_alpha 90.00
_cell_angle_beta 90.00
_cell_angle_gamma 120.00
loop_
_atom_site_label
_atom_site_fract_x
_atom_site_fract_y
_atom_site_fract_z
_atom_site_occupancy
Sr1 0.0000 0.0000 0.0000 1
Sb1 0.3333 0.6667 0.3682 1
# Crystal system: trigonal
# VASP energy (eV per atom): -32.487

***

# ZrTcHg2 (SCAN, PBEsol geometry)
data_ZrTcHg2
_chemical_formula_sum 'Zr4 Tc4 Hg8'
_symmetry_space_group_name_H-M 'F m -3 m'
_symmetry_Int_Tables_number 225
_symmetry_space_group_name_Hall '-F 4 2 3'
_cell_length_a 6.649
_cell_length_b 6.649
_cell_length_c 6.649
_cell_angle_alpha 90.00
_cell_angle_beta 90.00
_cell_angle_gamma 90.00
loop_
_atom_site_label
_atom_site_fract_x
_atom_site_fract_y
_atom_site_fract_z
_atom_site_occupancy
Zr1 0.000 0.000 0.000 1
Tc1 0.000 0.000 0.500 1
Hg1 0.250 0.250 0.250 1
# Crystal system: cubic
# Relative energy among the computed polymorphs (meV/atom): 121
# E_form (meV/atom): 192

***

# Rb2HBr (SCAN, PBEsol geometry)
data_Rb2HBr
_chemical_formula_sum 'Rb8 H4 Br4'
_symmetry_space_group_name_H-M 'I -4 2 d'
_symmetry_Int_Tables_number 122
_symmetry_space_group_name_Hall 'I -4 2bw'
_cell_length_a 7.972
_cell_length_b 7.972
_cell_length_c 8.831
_cell_angle_alpha 90.00
_cell_angle_beta 90.00
_cell_angle_gamma 90.00
loop_
_atom_site_label
_atom_site_fract_x
_atom_site_fract_y
_atom_site_fract_z
_atom_site_occupancy
Rb1 0.193 0.250 0.125 1
H1 0.000 0.000 0.000 1
Br1 0.000 0.000 0.500 1
# Crystal system: tetragonal
# Relative energy among the computed polymorphs (meV/atom): 0

***

# KHfGa3 (SCAN, PBEsol geometry)
data_KHfGa3
_chemical_formula_sum 'K1 Hf1 Ga3'
_symmetry_space_group_name_H-M 'P m -3 m'
_symmetry_Int_Tables_number 221
_symmetry_space_group_name_Hall '-P 4 2 3'
_cell_length_a 5.246
_cell_length_b 5.246
_cell_length_c 5.246
_cell_angle_alpha 90.00
_cell_angle_beta 90.00
_cell_angle_gamma 90.00
loop_
_atom_site_label
_atom_site_fract_x
_atom_site_fract_y
_atom_site_fract_z
_atom_site_occupancy
K1 0.000 0.000 0.000 1
Hf1 0.500 0.500 0.500 1
Ga1 0.000 0.500 0.500 1
# Crystal system: cubic
# Relative energy among the computed polymorphs (meV/atom): 0
# E_form (meV/atom): 219

***

# Zr5NiSb9 (SCAN, PBEsol geometry)
data_Zr5NiSb9
_chemical_formula_sum 'Zr10 Ni2 Sb18'
_symmetry_space_group_name_H-M 'P 4/n'
_symmetry_Int_Tables_number 85
_cell_length_a 8.772
_cell_length_b 8.772
_cell_length_c 8.711
_cell_angle_alpha 90.00
_cell_angle_beta 90.00
_cell_angle_gamma 90.00
loop_
_symmetry_equiv_pos_as_xyz
'x,y,z'
'-x,-y,-z'
'-y+1/2,x,z'
'y+1/2,-x,-z'
'-x+1/2,-y+1/2,z'
'x+1/2,y+1/2,-z'
'y,-x+1/2,z'
'-y,x+1/2,-z'
loop_
_atom_site_label
_atom_site_fract_x
_atom_site_fract_y
_atom_site_fract_z
_atom_site_occupancy
Zr1 0.047 0.853 0.235 1
Zr2 0.250 0.250 0.245 1
Ni1 0.250 0.750 0.500 1
Sb1 0.024 0.334 0.499 1
Sb2 0.051 0.848 0.884 1
Sb3 0.250 0.250 0.893 1
# Crystal system: tetragonal
# VASP energy (eV per atom): -34.300

***

# MnP2PtO (SCAN, PBEsol geometry)
data_MnP2PtO
_chemical_formula_sum 'Mn1 P2 Pt1 O1'
_symmetry_space_group_name_H-M 'P 4/m m m'
_symmetry_Int_Tables_number 123
_symmetry_space_group_name_Hall '-P 4 2'
_cell_length_a 4.495
_cell_length_b 4.495
_cell_length_c 3.319
_cell_angle_alpha 90.00
_cell_angle_beta 90.00
_cell_angle_gamma 90.00
loop_
_atom_site_label
_atom_site_fract_x
_atom_site_fract_y
_atom_site_fract_z
_atom_site_occupancy
Mn1 0.000 0.000 0.000 1
P1 0.000 0.500 0.000 1
Pt1 0.500 0.500 0.500 1
O1 0.000 0.000 0.500 1
# Crystal system: tetragonal
# VASP energy (eV per atom): -23.191

***

# LiAgF4 (SCAN, PBEsol geometry)
data_LiAgF4
_chemical_formula_sum 'Li4 Ag4 F16'
_symmetry_space_group_name_H-M 'P b c n'
_symmetry_Int_Tables_number 60
_cell_length_a 4.724
_cell_length_b 11.118
_cell_length_c 5.481
_cell_angle_alpha 90.00
_cell_angle_beta 90.00
_cell_angle_gamma 90.00
loop_
_symmetry_equiv_pos_as_xyz
'x,y,z'
'-x,-y,-z'
'-x+1/2,-y+1/2,z+1/2'
'x+1/2,y+1/2,-z+1/2'
'x+1/2,-y+1/2,-z'
'-x+1/2,y+1/2,z'
'-x,y,-z+1/2'
'x,-y,z+1/2'
loop_
_atom_site_label
_atom_site_fract_x
_atom_site_fract_y
_atom_site_fract_z
_atom_site_occupancy
Li1 0.000 0.066 0.250 1
Ag1 0.000 0.334 0.250 1
F1 0.225 0.204 0.119 1
F2 0.249 0.048 0.597 1
# Crystal system: orthorhombic
# Relative energy among the computed polymorphs (meV/atom): 15

***

# MnCr2Mo (SCAN, PBEsol geometry)
data_MnCr2Mo
_chemical_formula_sum 'Mn2 Cr4 Mo2'
_symmetry_space_group_name_H-M 'C m m 2'
_symmetry_Int_Tables_number 35
_cell_length_a 2.922
_cell_length_b 4.146
_cell_length_c 8.029
_cell_angle_alpha 90.00
_cell_angle_beta 90.00
_cell_angle_gamma 90.00
loop_
_symmetry_equiv_pos_as_xyz
'x,y,z'
'-x,-y,z'
'-x,y,z'
'x,-y,z'
'x+1/2,y+1/2,z'
'-x+1/2,-y+1/2,z'
'-x+1/2,y+1/2,z'
'x+1/2,-y+1/2,z'
loop_
_atom_site_label
_atom_site_fract_x
_atom_site_fract_y
_atom_site_fract_z
_atom_site_occupancy
Mn1 0.000 0.000 0.000 1
Cr1 0.000 0.000 0.470 1
Cr2 0.000 0.500 0.233 1
Mo1 0.000 0.500 0.737 1
# Crystal system: orthorhombic
# Relative energy among the computed polymorphs (meV/atom): 0
# E_form (meV/atom): 108

***

# PmCdHg2 (SCAN, PBEsol geometry)
data_PmCdHg2
_chemical_formula_sum 'Pm4 Cd4 Hg8'
_symmetry_space_group_name_H-M 'F m -3 m'
_symmetry_Int_Tables_number 225
_symmetry_space_group_name_Hall '-F 4 2 3'
_cell_length_a 7.150
_cell_length_b 7.150
_cell_length_c 7.150
_cell_angle_alpha 90.00
_cell_angle_beta 90.00
_cell_angle_gamma 90.00
loop_
_atom_site_label
_atom_site_fract_x
_atom_site_fract_y
_atom_site_fract_z
_atom_site_occupancy
Pm1 0.000 0.000 0.000 1
Cd1 0.000 0.000 0.500 1
Hg1 0.250 0.250 0.250 1
# Crystal system: cubic
# E_form (meV/atom): -555

***

# AsRh2W (SCAN, PBEsol geometry)
data_AsRh2W
_chemical_formula_sum 'As2 Rh4 W2'
_symmetry_space_group_name_H-M 'I m m m'
_symmetry_Int_Tables_number 71
_symmetry_space_group_name_Hall '-I 2 2'
_cell_length_a 3.172
_cell_length_b 4.217
_cell_length_c 8.461
_cell_angle_alpha 90.00
_cell_angle_beta 90.00
_cell_angle_gamma 90.00
loop_
_atom_site_label
_atom_site_fract_x
_atom_site_fract_y
_atom_site_fract_z
_atom_site_occupancy
As1 0.000 0.000 0.000 1
Rh1 0.000 0.500 0.274 1
W1 0.000 0.000 0.500 1
# Crystal system: orthorhombic
# E_form (meV/atom): -78

***

# La2RhAu (SCAN, PBEsol geometry)
data_La2RhAu
_chemical_formula_sum 'La2 Rh1 Au1'
_symmetry_space_group_name_H-M 'P 4/m m m'
_symmetry_Int_Tables_number 123
_symmetry_space_group_name_Hall '-P 4 2'
_cell_length_a 3.609
_cell_length_b 3.609
_cell_length_c 7.259
_cell_angle_alpha 90.00
_cell_angle_beta 90.00
_cell_angle_gamma 90.00
loop_
_atom_site_label
_atom_site_fract_x
_atom_site_fract_y
_atom_site_fract_z
_atom_site_occupancy
La1 0.000 0.000 0.232 1
Rh1 0.500 0.500 0.000 1
Au1 0.500 0.500 0.500 1
# Crystal system: tetragonal
# E_form (meV/atom): -868

***

# K2ScSnAs3O12 (SCAN, PBEsol geometry)
data_K2ScSnAs3O12
_chemical_formula_sum 'K8 Sc4 Sn4 As12 O48'
_symmetry_space_group_name_H-M 'P 21 3'
_symmetry_Int_Tables_number 198
_symmetry_space_group_name_Hall 'P 2ac 2ab 3'
_cell_length_a 10.384
_cell_length_b 10.384
_cell_length_c 10.384
_cell_angle_alpha 90.00
_cell_angle_beta 90.00
_cell_angle_gamma 90.00
loop_
_atom_site_label
_atom_site_fract_x
_atom_site_fract_y
_atom_site_fract_z
_atom_site_occupancy
K1 0.046 0.046 0.046 1
K2 0.187 0.313 0.687 1
Sc1 0.112 0.888 0.388 1
Sn1 0.160 0.660 0.840 1
As1 0.032 0.205 0.382 1
O1 0.014 0.053 0.325 1
O2 0.026 0.735 0.965 1
O3 0.051 0.809 0.213 1
O4 0.093 0.807 0.730 1
# Crystal system: cubic
# VASP energy (eV per atom): -12.617

***

no.,total magnetization (μB/f.u.)
1,0.000
2,1.000
3,0.187
4,6.261
5,0.000
6,0.000
7,2.086
8,0.000
9,0.000
10,0.001
11,0.033
12,0.000
13,0.000
14,0.000
15,0.000
16,1.619
17,0.000
18,0.000
19,0.000
20,0.000